Entry from the Alexandria database: KSrAg2 after structural relaxation (PBE-GGA).

The space group is R-3m (No. 166, hexagonal axes) and the conventional cell measures 4.5704, 4.5704 and 25.1296 Å, with angles of 90.00, 90.00 and 120.00 degrees. The inequivalent atoms are K at (0.0000, 0.0000, 0.0000), Sr at (0.0000, 0.0000, 0.5000) and Ag at (0.0000, 0.0000, 0.2423).

Its crystal system is trigonal. As for the size of the total moment: 0.0000 μB per atom. The formation energy from the elements comes out at 0.014 eV per atom. The value obtained for the distance to the lowest polymorph of the same formula is 12.98 kJ/mol of atoms. Its density of states at the Fermi level is 2.47 states/eV/f.u.



Entry from the Alexandria database: K2SrAg after structural relaxation (PBE-GGA).

The space group is R-3m (No. 166, hexagonal axes) and the conventional cell measures 4.4188, 4.4188 and 36.9186 Å, with angles of 90.00, 90.00 and 120.00 degrees. The inequivalent atoms are K at (0.0000, 0.0000, 0.2275), Sr at (0.0000, 0.0000, 0.0000) and Ag at (0.0000, 0.0000, 0.5000).

Its crystal system is trigonal. As for the size of the total moment: 0.0000 μB per atom. The formation energy from the elements comes out at 0.130 eV per atom. The value obtained for the distance to the lowest polymorph of the same formula is 15.48 kJ/mol of atoms. Its density of states at the Fermi level is 1.92 states/eV/f.u.



Entry from the Alexandria database: KSr4Ag after structural relaxation (PBE-GGA).

The space group is F-43m (No. 216) and the conventional cell measures 11.0507, 11.0507 and 11.0507 Å, with angles of 90.00, 90.00 and 90.00 degrees. The inequivalent atoms are K at (0.0000, 0.0000, 0.0000), Sr at (0.1247, 0.1247, 0.6247) and Ag at (0.2500, 0.2500, 0.2500).

Its crystal system is cubic. As for the size of the total moment: 0.0000 μB per atom. The formation energy from the elements comes out at 0.375 eV per atom. Its density of states at the Fermi level is 6.88 states/eV/f.u.



Entry from the Alexandria database: KSrTaAg2 after structural relaxation (PBE-GGA).

The space group is P4/mmm (No. 123) and the conventional cell measures 5.5143, 5.5143 and 5.7184 Å, with angles of 90.00, 90.00 and 90.00 degrees. The inequivalent atoms are K at (0.0000, 0.0000, 0.0000), Sr at (0.5000, 0.5000, 0.5000), Ta at (0.0000, 0.0000, 0.5000) and Ag at (0.0000, 0.5000, 0.0000).

Its crystal system is tetragonal. As for the size of the total moment: 0.7341 μB per atom. The formation energy from the elements comes out at 1.522 eV per atom. Its density of states at the Fermi level is 2.72 states/eV/f.u.



Entry from the Alexandria database: KSrTcAg2 after structural relaxation (PBE-GGA).

The space group is P4/mmm (No. 123) and the conventional cell measures 5.5135, 5.5135 and 5.4899 Å, with angles of 90.00, 90.00 and 90.00 degrees. The inequivalent atoms are K at (0.0000, 0.0000, 0.0000), Sr at (0.5000, 0.5000, 0.5000), Tc at (0.0000, 0.0000, 0.5000) and Ag at (0.0000, 0.5000, 0.0000).

Its crystal system is tetragonal. As for the size of the total moment: 0.7033 μB per atom. The formation energy from the elements comes out at 1.355 eV per atom. Its density of states at the Fermi level is 5.16 states/eV/f.u.



Entry from the Alexandria database: KSrAgTe2 after structural relaxation (PBE-GGA).

The space group is Cmme (No. 67) and the conventional cell measures 8.6197, 16.9551 and 5.8061 Å, with angles of 90.00, 90.00 and 90.00 degrees. The inequivalent atoms are K at (0.0000, 0.2500, 0.2178), Sr at (0.2500, 0.0000, 0.5000), Ag at (0.0000, 0.0000, 0.0000) and Te at (0.0000, 0.1244, 0.7259).

Its crystal system is orthorhombic. As for the size of the total moment: 0.0000 μB per atom. Its formation energy without anion corrections is -932.7 meV/atom. Its density of states at the Fermi level is 0.00 states/eV/f.u.



Entry from the Alexandria database: KSrZn2Ag after structural relaxation (PBE-GGA).

The space group is P4/mmm (No. 123) and the conventional cell measures 6.0908, 6.0908 and 6.0009 Å, with angles of 90.00, 90.00 and 90.00 degrees. The inequivalent atoms are K at (0.0000, 0.0000, 0.0000), Sr at (0.5000, 0.5000, 0.5000), Zn at (0.0000, 0.5000, 0.5000) and Ag at (0.5000, 0.5000, 0.0000).

Its crystal system is tetragonal. As for the size of the total moment: 0.0000 μB per atom. The formation energy from the elements comes out at 0.418 eV per atom. Its density of states at the Fermi level is 4.35 states/eV/f.u.



Entry from the Alexandria database: KSr2ZrAg after structural relaxation (PBE-GGA).

The space group is P4/mmm (No. 123) and the conventional cell measures 6.2005, 6.2005 and 5.2258 Å, with angles of 90.00, 90.00 and 90.00 degrees. The inequivalent atoms are K at (0.0000, 0.0000, 0.0000), Sr at (0.0000, 0.5000, 0.0000), Zr at (0.5000, 0.5000, 0.5000) and Ag at (0.0000, 0.0000, 0.5000).

Its crystal system is tetragonal. As for the size of the total moment: 0.5013 μB per atom. The formation energy from the elements comes out at 1.186 eV per atom. Its density of states at the Fermi level is 7.21 states/eV/f.u.